The following is a DFT calculation (PBE-GGA) of an optimized crystal structure of CdAgBiRh.

a = 4.8346 Å, b = 4.8346 Å, c = 4.8346 Å
α = 60.00°, β = 60.00°, γ = 60.00°
Positions (direct):
Ag 0.0000 0.0000 0.0000
Bi 0.2500 0.2500 0.2500
Cd 0.7500 0.7500 0.7500
Rh 0.5000 0.5000 0.5000

Spin magnetization = 0.00 μB per atom
Final energy = -3.7011 eV/atom
Crystal system = cubic
Formation energy from the elements = 0.0486 eV/atom
Space group = F-43m (216)